1.
Computed, not measured: crystalline GaCoReNi at its relaxed geometry at the PBE level of DFT.

Lattice parameters (Å, degrees): 4.1402 4.1402 4.1402 60.00 60.00 60.00
Last column: nearest neighbours and their distance in Å.
Fractional coordinates of all 4 atoms:
1 Ni 0.5000 0.5000 0.5000  4 Co 2.54, 4 Re 2.54
2 Ga 0.0000 0.0000 0.0000  4 Co 2.54, 4 Re 2.54
3 Co 0.7500 0.7500 0.7500  4 Ni 2.54, 4 Ga 2.54
4 Re 0.2500 0.2500 0.2500  4 Ni 2.54, 4 Ga 2.54

Values from the calculation:
* electronic total energy: -6.89 eV/atom
* energy above the lowest structure with this stoichiometry: 0.0442 eV per atom

=====

2.
Computed, not measured: crystalline Sc2Ga4CoNi at its relaxed geometry at the PBE level of DFT.

Lattice parameters (Å, degrees): 6.4975 5.1750 5.1750 45.88 90.00 90.00
Last column: nearest neighbours and their distance in Å.
Fractional coordinates of all 8 atoms:
1 Co 0.5000 0.7943 0.7943  6 Ga 2.45-2.48, 1 Sc 2.67
2 Ga 0.2002 0.6391 0.6391  1 Co 2.45, 2 Ni 2.48, 2 Ga 2.60-2.72
3 Ga 0.3008 0.3617 0.3617  1 Ni 2.45, 2 Co 2.48, 2 Ga 2.59-2.72
4 Ga 0.7998 0.6391 0.6391  1 Co 2.45, 2 Ni 2.48, 2 Ga 2.60-2.72
5 Ga 0.6992 0.3617 0.3617  1 Ni 2.45, 2 Co 2.48, 2 Ga 2.59-2.72
6 Sc 0.5000 0.0739 0.0739  3 Co 2.67-2.91, 4 Ga 2.87
7 Sc 0.0000 0.9240 0.9240  3 Ni 2.69-2.90, 6 Ga 2.87-3.01
8 Ni 0.0000 0.2061 0.2061  6 Ga 2.45-2.48, 1 Sc 2.69

Values from the calculation:
* electronic total energy: -5.27 eV/atom

=====

3.
Computed, not measured: crystalline TaGaCoNi at its relaxed geometry at the PBE level of DFT.

Lattice parameters (Å, degrees): 4.2350 4.2350 4.2350 60.00 60.00 60.00
Last column: nearest neighbours and their distance in Å.
Fractional coordinates of all 4 atoms:
1 Co 0.5000 0.5000 0.5000  4 Ta 2.59, 4 Ni 2.59
2 Ta 0.2500 0.2500 0.2500  4 Co 2.59, 4 Ga 2.59
3 Ni 0.7500 0.7500 0.7500  4 Ga 2.59, 4 Co 2.59
4 Ga 0.0000 0.0000 0.0000  4 Ni 2.59, 4 Ta 2.59

Values from the calculation:
* electronic total energy: -6.96 eV/atom
* energy above the lowest structure with this stoichiometry: 0.2535 eV per atom

=====

4.
Computed, not measured: crystalline TaGaCoNi at its relaxed geometry at the PBE level of DFT.

Lattice parameters (Å, degrees): 4.2128 4.2128 4.2128 60.00 60.00 60.00
Last column: nearest neighbours and their distance in Å.
Fractional coordinates of all 4 atoms:
1 Ni 0.2500 0.2500 0.2500  4 Ga 2.58, 4 Ta 2.58
2 Ta 0.5000 0.5000 0.5000  4 Co 2.58, 4 Ni 2.58
3 Co 0.7500 0.7500 0.7500  4 Ta 2.58, 4 Ga 2.58
4 Ga 0.0000 0.0000 0.0000  4 Ni 2.58, 4 Co 2.58

Values from the calculation:
* electronic total energy: -7.21 eV/atom
* energy above the lowest structure with this stoichiometry: 0.0000 eV per atom

=====

5.
Computed, not measured: crystalline TaGaCoNi at its relaxed geometry at the PBE level of DFT.

Lattice parameters (Å, degrees): 4.2177 4.2177 4.2177 60.00 60.00 60.00
Last column: nearest neighbours and their distance in Å.
Fractional coordinates of all 4 atoms:
1 Ga 0.0000 0.0000 0.0000  4 Co 2.58, 4 Ta 2.58
2 Co 0.7500 0.7500 0.7500  4 Ni 2.58, 4 Ga 2.58
3 Ta 0.2500 0.2500 0.2500  4 Ni 2.58, 4 Ga 2.58
4 Ni 0.5000 0.5000 0.5000  4 Co 2.58, 4 Ta 2.58

Values from the calculation:
* electronic total energy: -6.96 eV/atom
* energy above the lowest structure with this stoichiometry: 0.2500 eV per atom

=====

6.
Computed, not measured: crystalline GaCoNiW at its relaxed geometry at the PBE level of DFT.

Lattice parameters (Å, degrees): 4.1643 4.1643 4.1643 60.00 60.00 60.00
Last column: nearest neighbours and their distance in Å.
Fractional coordinates of all 4 atoms:
1 Co 0.7500 0.7500 0.7500  4 Ni 2.55, 4 Ga 2.55
2 Ga 0.0000 0.0000 0.0000  4 Co 2.55, 4 W 2.55
3 Ni 0.5000 0.5000 0.5000  4 Co 2.55, 4 W 2.55
4 W 0.2500 0.2500 0.2500  4 Ni 2.55, 4 Ga 2.55

Values from the calculation:
* electronic total energy: -7.04 eV/atom
* energy above the lowest structure with this stoichiometry: 0.1469 eV per atom

=====

7.
Computed, not measured: crystalline GaCoNiW at its relaxed geometry at the PBE level of DFT.

Lattice parameters (Å, degrees): 4.1660 4.1660 4.1660 60.00 60.00 60.00
Last column: nearest neighbours and their distance in Å.
Fractional coordinates of all 4 atoms:
1 Ga 0.0000 0.0000 0.0000  4 Co 2.55, 4 Ni 2.55
2 Ni 0.2500 0.2500 0.2500  4 W 2.55, 4 Ga 2.55
3 W 0.5000 0.5000 0.5000  4 Ni 2.55, 4 Co 2.55
4 Co 0.7500 0.7500 0.7500  4 Ga 2.55, 4 W 2.55

Values from the calculation:
* electronic total energy: -7.19 eV/atom
* energy above the lowest structure with this stoichiometry: 0.0000 eV per atom

=====

8.
Computed, not measured: crystalline YGaCoNi at its relaxed geometry at the PBE level of DFT.

Lattice parameters (Å, degrees): 4.5032 4.5032 4.5032 60.00 60.00 60.00
Last column: nearest neighbours and their distance in Å.
Fractional coordinates of all 4 atoms:
1 Ga 0.0000 0.0000 0.0000  4 Co 2.76, 4 Y 2.76
2 Co 0.7500 0.7500 0.7500  4 Ni 2.76, 4 Ga 2.76
3 Ni 0.5000 0.5000 0.5000  4 Y 2.76, 4 Co 2.76
4 Y 0.2500 0.2500 0.2500  4 Ni 2.76, 4 Ga 2.76

Values from the calculation:
* electronic total energy: -5.62 eV/atom
* energy above the lowest structure with this stoichiometry: 0.2158 eV per atom

=====

9.
Computed, not measured: crystalline YGaCoNi at its relaxed geometry at the PBE level of DFT.

Lattice parameters (Å, degrees): 4.4446 4.4446 4.4446 60.00 60.00 60.00
Last column: nearest neighbours and their distance in Å.
Fractional coordinates of all 4 atoms:
1 Co 0.7500 0.7500 0.7500  4 Ga 2.72, 4 Y 2.72
2 Ga 0.0000 0.0000 0.0000  4 Co 2.72, 4 Ni 2.72
3 Ni 0.2500 0.2500 0.2500  4 Y 2.72, 4 Ga 2.72
4 Y 0.5000 0.5000 0.5000  4 Co 2.72, 4 Ni 2.72

Values from the calculation:
* electronic total energy: -5.83 eV/atom
* energy above the lowest structure with this stoichiometry: 0.0000 eV per atom

=====

10.
Computed, not measured: crystalline ZrGaCoNi at its relaxed geometry at the PBE level of DFT.

Lattice parameters (Å, degrees): 4.3064 4.3064 4.3064 60.00 60.00 60.00
Last column: nearest neighbours and their distance in Å.
Fractional coordinates of all 4 atoms:
1 Zr 0.5000 0.5000 0.5000  4 Ni 2.64, 4 Co 2.64
2 Ga 0.0000 0.0000 0.0000  4 Co 2.64, 4 Ni 2.64
3 Ni 0.2500 0.2500 0.2500  4 Zr 2.64, 4 Ga 2.64
4 Co 0.7500 0.7500 0.7500  4 Ga 2.64, 4 Zr 2.64

Values from the calculation:
* electronic total energy: -6.52 eV/atom
* energy above the lowest structure with this stoichiometry: 0.0000 eV per atom

=====

11.
Computed, not measured: crystalline ZrGaCoNi at its relaxed geometry at the PBE level of DFT.

Lattice parameters (Å, degrees): 4.3518 4.3518 4.3518 60.00 60.00 60.00
Last column: nearest neighbours and their distance in Å.
Fractional coordinates of all 4 atoms:
1 Co 0.7500 0.7500 0.7500  4 Ga 2.66, 4 Ni 2.66
2 Ni 0.5000 0.5000 0.5000  4 Zr 2.66, 4 Co 2.66
3 Zr 0.2500 0.2500 0.2500  4 Ni 2.66, 4 Ga 2.66
4 Ga 0.0000 0.0000 0.0000  4 Co 2.66, 4 Zr 2.66

Values from the calculation:
* electronic total energy: -6.25 eV/atom
* energy above the lowest structure with this stoichiometry: 0.2656 eV per atom

=====

12.
Computed, not measured: crystalline NpGa5Co at its relaxed geometry at the PBE level of DFT.

Lattice parameters (Å, degrees): 4.2152 4.2152 6.8126 90.00 90.00 90.00
Last column: nearest neighbours and their distance in Å.
Fractional coordinates of all 7 atoms:
1 Ga 0.0000 0.5000 0.6910  2 Co 2.48, 1 Ga 2.60
2 Ga 0.0000 0.5000 0.3090  2 Co 2.48, 1 Ga 2.60
3 Ga 0.5000 0.0000 0.3090  2 Co 2.48, 1 Ga 2.60
4 Ga 0.5000 0.5000 0.0000  8 Ga 2.98, 4 Np 2.98
5 Ga 0.5000 0.0000 0.6910  2 Co 2.48, 1 Ga 2.60
6 Co 0.0000 0.0000 0.5000  8 Ga 2.48
7 Np 0.0000 0.0000 0.0000  12 Ga 2.98

Values from the calculation:
* electronic total energy: -5.32 eV/atom

=====

> Which of these has the lowest electronic total energy?

number 4